Record 1
{
  "formula": "AlCdTe2",
  "functional": "PBE",
  "state": "optimized geometry",
  "lattice_angstrom": [[6.0047, 0.0000, 0.0000], [0.0000, 4.2442, -0.0070], [0.0000, 0.0067, 4.2411]],
  "species": ["Al", "Te", "Cd", "Te"],
  "fractional_positions": [[0.0000, 0.3757, 0.3760], [0.5000, 0.3748, 0.3747], [0.5000, 0.8745, 0.8748], [0.0000, 0.8749, 0.8745]],
  "relative_energy_mev_per_atom": 58,
  "e_form_raw_ev_per_atom": -0.24,
  "spacegroup": "No. 38",
  "final_energy_ev_per_cell": -11.9
}



Record 2
{
  "formula": "Zr2FeSiH",
  "functional": "PBE",
  "state": "optimized geometry",
  "lattice_angstrom": [[-1.1402, 3.8368, -1.8237], [-3.6935, 0.0376, 2.3883], [1.7551, 1.7983, 2.6860]],
  "species": ["Fe", "Si", "Zr", "H", "Zr"],
  "fractional_positions": [[0.0000, 0.0000, 0.5000], [0.5000, 0.5000, 0.5000], [0.5000, 0.0000, 0.0000], [0.0000, 0.0000, 0.0000], [0.0000, 0.5000, 0.0000]],
  "spacegroup": "No. 123",
  "final_energy_ev_per_cell": -36.3
}



Record 3
{
  "formula": "In3TeAu6",
  "functional": "PBE",
  "state": "optimized geometry",
  "lattice_angstrom": [[-4.8086, 6.9483, 5.2299], [-6.0091, -2.4031, -2.3323], [-3.9358, 1.0164, 9.0933]],
  "species": ["Au", "Au", "Te", "Au", "Au", "Au", "Te", "Au", "Au", "Au", "In", "Au", "In", "Au", "In", "In", "In", "In", "Au", "Au"],
  "fractional_positions": [[0.7155, 0.7187, 0.7223], [0.3759, 0.4896, 0.9184], [0.2987, 0.5921, 0.4005], [0.2845, 0.2187, 0.2777], [0.9821, 0.9817, 0.9771], [0.8796, 0.6603, 0.8757], [0.7013, 0.0921, 0.5995], [0.9179, 0.7982, 0.2815], [0.3599, 0.1794, 0.7088], [0.0179, 0.4817, 0.0229], [0.6728, 0.3521, 0.8965], [0.1204, 0.1603, 0.1243], [0.3596, 0.7449, 0.7012], [0.6241, 0.9896, 0.0816], [0.0204, 0.9684, 0.6126], [0.9796, 0.4684, 0.3874], [0.3272, 0.8521, 0.1035], [0.6404, 0.2449, 0.2988], [0.6401, 0.6794, 0.2912], [0.0821, 0.2982, 0.7185]],
  "e_form_raw_ev_per_atom": -0.09,
  "spacegroup": "No. 4",
  "final_energy_ev_per_cell": -63.9
}



Record 4
{
  "formula": "PPt",
  "functional": "PBE",
  "state": "optimized geometry",
  "lattice_angstrom": [[1.7239, 5.2765, 0.0132], [-1.7239, 5.2765, 0.0132], [0.0000, 1.4657, 5.4110]],
  "species": ["P", "P", "P", "Pt", "Pt", "Pt"],
  "fractional_positions": [[0.6640, 0.6640, 0.7654], [0.3531, 0.3531, 0.1894], [0.3805, 0.3805, 0.5612], [0.0347, 0.0347, 0.4910], [0.0255, 0.0255, 0.9938], [0.7089, 0.7089, 0.1651]],
  "e_form_ev_per_atom": -0.231,
  "spacegroup": "No. 8",
  "final_energy_ev_per_cell": -35.7
}